Material: Cs3V5Br12
Method: DFT, PBE
State: optimized geometry

Geometry as POSCAR:
```
Cs3V5Br12
1.0
-8.8057 8.8057 8.8057
8.8057 -8.8057 8.8057
8.8057 8.8057 -8.8057
Cs V Br
12 20 48
Direct
0.1250 0.2500 0.3750
0.1250 0.3750 0.7500
0.2500 0.3750 0.1250
0.2500 0.8750 0.6250
0.3750 0.1250 0.2500
0.3750 0.7500 0.1250
0.6250 0.2500 0.8750
0.6250 0.8750 0.7500
0.7500 0.1250 0.3750
0.7500 0.6250 0.8750
0.8750 0.6250 0.2500
0.8750 0.7500 0.6250
0.0000 0.0000 0.0000
0.0000 0.0000 0.5000
0.0000 0.5000 0.0000
0.0000 0.5000 0.5000
0.1250 0.7500 0.8750
0.1250 0.8750 0.2500
0.2500 0.1250 0.8750
0.2500 0.6250 0.3750
0.3750 0.2500 0.6250
0.3750 0.6250 0.7500
0.5000 0.0000 0.0000
0.5000 0.0000 0.5000
0.5000 0.5000 0.0000
0.5000 0.5000 0.5000
0.6250 0.3750 0.2500
0.6250 0.7500 0.3750
0.7500 0.3750 0.6250
0.7500 0.8750 0.1250
0.8750 0.1250 0.7500
0.8750 0.2500 0.1250
0.0054 0.1866 0.1003
0.0054 0.3188 0.9051
0.0863 0.6866 0.6812
0.0863 0.8997 0.4051
0.0949 0.6003 0.4137
0.0949 0.9946 0.6812
0.1003 0.0054 0.1866
0.1003 0.5949 0.9137
0.1812 0.1866 0.5863
0.1812 0.4946 0.5949
0.1866 0.1003 0.0054
0.1866 0.5863 0.1812
0.3134 0.3188 0.9137
0.3134 0.4946 0.3997
0.3188 0.9051 0.0054
0.3188 0.9137 0.3134
0.3997 0.3134 0.4946
0.3997 0.5863 0.9051
0.4051 0.0863 0.8997
0.4051 0.8188 0.5054
0.4137 0.0949 0.6003
0.4137 0.8188 0.8134
0.4946 0.3997 0.3134
0.4946 0.5949 0.1812
0.5054 0.4051 0.8188
0.5054 0.6003 0.6866
0.5863 0.1812 0.1866
0.5863 0.9051 0.3997
0.5949 0.1812 0.4946
0.5949 0.9137 0.1003
0.6003 0.4137 0.0949
0.6003 0.6866 0.5054
0.6812 0.0863 0.6866
0.6812 0.0949 0.9946
0.6866 0.5054 0.6003
0.6866 0.6812 0.0863
0.8134 0.4137 0.8188
0.8134 0.8997 0.9946
0.8188 0.5054 0.4051
0.8188 0.8134 0.4137
0.8997 0.4051 0.0863
0.8997 0.9946 0.8134
0.9051 0.0054 0.3188
0.9051 0.3997 0.5863
0.9137 0.1003 0.5949
0.9137 0.3134 0.3188
0.9946 0.6812 0.0949
0.9946 0.8134 0.8997
```

Summary:
**Total DFT energy (no corrections)**: -343.0 eV/cell
**SG**: Ia-3d